Entry 1:
Compound: AcLa3Ga
Source: Alexandria via LeMat-Bulk
Functional: PBE
Structure: optimized geometry

Properties
**Magnetization**: 0.00 μB/cell
**Calculated formation energy**: -167 meV/atom
**Electronic total energy**: -4.55 eV per atom

Unit cell a=5.452 b=8.212 c=7.736 alpha=90.00 beta=90.00 gamma=90.00
Atoms (fractional coordinates):
1 Ac 0.250 0.250 0.231
2 Ac 0.750 0.750 0.769
3 La 0.250 0.060 0.689
4 La 0.250 0.440 0.689
5 La 0.250 0.750 0.070
6 La 0.750 0.250 0.930
7 La 0.750 0.560 0.311
8 La 0.750 0.940 0.311
9 Ga 0.250 0.750 0.462
10 Ga 0.750 0.250 0.538



Entry 2:
Compound: Ac2La3Ga2
Source: Alexandria via LeMat-Bulk
Functional: PBE
Structure: optimized geometry

Properties
**Magnetization**: 0.00 μB/cell
**Calculated formation energy**: -291 meV/atom
**Electronic total energy**: -4.44 eV per atom

Unit cell a=6.805 b=6.805 c=8.873 alpha=111.04 beta=111.04 gamma=39.14
Atoms (fractional coordinates):
1 Ac 0.152 0.152 0.303
2 Ac 0.848 0.848 0.697
3 La 0.368 0.368 0.056
4 La 0.500 0.500 0.500
5 La 0.632 0.632 0.944
6 Ga 0.161 0.161 0.711
7 Ga 0.839 0.839 0.289



Entry 3:
Compound: Ac2LaGa
Source: Alexandria via LeMat-Bulk
Functional: PBE
Structure: optimized geometry

Properties
**E above lowest polymorph**: 53.2 meV/atom
**Magnetization**: 0.00 μB/cell
**Calculated formation energy**: -143 meV/atom
**Electronic total energy**: -4.19 eV per atom

Unit cell a=5.213 b=5.213 c=4.991 alpha=90.00 beta=90.00 gamma=90.00
Atoms (fractional coordinates):
1 Ac 0.000 0.500 0.000
2 Ac 0.500 0.000 0.000
3 La 0.000 0.000 0.500
4 Ga 0.500 0.500 0.500



Entry 4:
Compound: Ac3LaGa8
Source: Alexandria via LeMat-Bulk
Functional: PBE
Structure: optimized geometry

Properties
**Magnetization**: 0.00 μB/cell
**Calculated formation energy**: -492 meV/atom
**Electronic total energy**: -3.95 eV per atom

Unit cell a=10.150 b=10.150 c=10.150 alpha=33.41 beta=33.41 gamma=33.41
Atoms (fractional coordinates):
1 Ac 0.000 0.000 0.000
2 Ac 0.125 0.125 0.125
3 Ac 0.624 0.624 0.624
4 La 0.500 0.500 0.500
5 Ga 0.061 0.061 0.562
6 Ga 0.061 0.562 0.061
7 Ga 0.064 0.563 0.563
8 Ga 0.312 0.312 0.312
9 Ga 0.562 0.061 0.061
10 Ga 0.563 0.064 0.563
11 Ga 0.563 0.563 0.064
12 Ga 0.813 0.813 0.813



Entry 5:
Compound: Ac2LaGa4
Source: Alexandria via LeMat-Bulk
Functional: PBE
Structure: optimized geometry

Properties
**Magnetization**: 0.00 μB/cell
**Calculated formation energy**: -591 meV/atom
**Electronic total energy**: -4.20 eV per atom

Unit cell a=10.349 b=10.349 c=10.349 alpha=155.84 beta=154.29 gamma=35.57
Atoms (fractional coordinates):
1 Ac 0.183 0.183 0.000
2 Ac 0.817 0.817 0.000
3 La 0.000 0.500 0.500
4 Ga 0.366 0.366 0.000
5 Ga 0.437 0.937 0.500
6 Ga 0.563 0.063 0.500
7 Ga 0.634 0.634 0.000



Entry 6:
Compound: AcLaGa
Source: Alexandria via LeMat-Bulk
Functional: PBE
Structure: optimized geometry

Properties
**E above lowest polymorph**: 8.9 meV/atom
**Magnetization**: 0.00 μB/cell
**Calculated formation energy**: -384 meV/atom
**Electronic total energy**: -4.41 eV per atom

Unit cell a=8.518 b=4.965 c=9.347 alpha=90.00 beta=90.00 gamma=90.00
Atoms (fractional coordinates):
1 Ac 0.026 0.250 0.168
2 Ac 0.474 0.750 0.668
3 Ac 0.526 0.250 0.332
4 Ac 0.974 0.750 0.832
5 La 0.139 0.250 0.581
6 La 0.361 0.750 0.081
7 La 0.639 0.250 0.919
8 La 0.861 0.750 0.419
9 Ga 0.234 0.750 0.390
10 Ga 0.266 0.250 0.890
11 Ga 0.734 0.750 0.110
12 Ga 0.766 0.250 0.610



Entry 7:
Compound: AcLa2Ga3
Source: Alexandria via LeMat-Bulk
Functional: PBE
Structure: optimized geometry

Properties
**Magnetization**: 0.00 μB/cell
**Calculated formation energy**: -523 meV/atom
**Electronic total energy**: -4.36 eV per atom

Unit cell a=3.823 b=3.823 c=11.468 alpha=90.00 beta=90.00 gamma=90.00
Atoms (fractional coordinates):
1 Ac 0.000 0.000 0.000
2 La 0.000 0.000 0.337
3 La 0.000 0.000 0.663
4 Ga 0.500 0.500 0.178
5 Ga 0.500 0.500 0.500
6 Ga 0.500 0.500 0.822



Entry 8:
Compound: AcLa2Ga
Source: Alexandria via LeMat-Bulk
Functional: PBE
Structure: optimized geometry

Properties
**E above lowest polymorph**: 42.2 meV/atom
**Magnetization**: 0.00 μB/cell
**Calculated formation energy**: -217 meV/atom
**Electronic total energy**: -4.46 eV per atom

Unit cell a=23.755 b=3.871 c=5.848 alpha=90.00 beta=90.00 gamma=90.00
Atoms (fractional coordinates):
1 Ac 0.223 0.250 0.170
2 Ac 0.277 0.750 0.670
3 Ac 0.723 0.250 0.330
4 Ac 0.777 0.750 0.830
5 La 0.013 0.250 0.232
6 La 0.124 0.250 0.630
7 La 0.376 0.750 0.130
8 La 0.487 0.750 0.732
9 La 0.513 0.250 0.268
10 La 0.624 0.250 0.870
11 La 0.876 0.750 0.370
12 La 0.987 0.750 0.768
13 Ga 0.112 0.750 0.093
14 Ga 0.388 0.250 0.593
15 Ga 0.612 0.750 0.407
16 Ga 0.888 0.250 0.907



Entry 9:
Compound: AcLa2Ga
Source: Alexandria via LeMat-Bulk
Functional: PBE
Structure: optimized geometry

Properties
**E above lowest polymorph**: 94.5 meV/atom
**Magnetization**: 0.00 μB/cell
**Calculated formation energy**: -165 meV/atom
**Electronic total energy**: -4.41 eV per atom

Unit cell a=10.996 b=10.996 c=10.996 alpha=20.55 beta=20.55 gamma=20.55
Atoms (fractional coordinates):
1 Ac 0.000 0.000 0.000
2 La 0.567 0.567 0.567
3 La 0.765 0.765 0.765
4 Ga 0.166 0.166 0.166



Entry 10:
Compound: AcLa2Ga4
Source: Alexandria via LeMat-Bulk
Functional: PBE
Structure: optimized geometry

Properties
**Magnetization**: 0.00 μB/cell
**Calculated formation energy**: -619 meV/atom
**Electronic total energy**: -4.34 eV per atom

Unit cell a=10.121 b=10.121 c=10.121 alpha=155.29 beta=153.71 gamma=36.39
Atoms (fractional coordinates):
1 Ac 0.000 0.000 0.000
2 La 0.184 0.684 0.500
3 La 0.816 0.316 0.500
4 Ga 0.357 0.857 0.500
5 Ga 0.433 0.433 0.000
6 Ga 0.567 0.567 0.000
7 Ga 0.643 0.143 0.500



Entry 11:
Compound: Ac2LaGa2
Source: Alexandria via LeMat-Bulk
Functional: PBE
Structure: optimized geometry

Properties
**E above lowest polymorph**: 27.5 meV/atom
**Magnetization**: 0.00 μB/cell
**Calculated formation energy**: -400 meV/atom
**Electronic total energy**: -4.24 eV per atom

Unit cell a=6.485 b=6.485 c=6.485 alpha=136.53 beta=115.91 gamma=80.64
Atoms (fractional coordinates):
1 Ac 0.201 0.201 0.000
2 Ac 0.799 0.799 0.000
3 La 0.500 0.000 0.500
4 Ga 0.198 0.500 0.698
5 Ga 0.802 0.500 0.302



Entry 12:
Compound: AcLaGa
Source: Alexandria via LeMat-Bulk
Functional: PBE
Structure: optimized geometry

Properties
**E above lowest polymorph**: 0.0 meV/atom
**Magnetization**: 0.00 μB/cell
**Calculated formation energy**: -393 meV/atom
**Electronic total energy**: -4.41 eV per atom

Unit cell a=8.406 b=8.406 c=4.783 alpha=90.00 beta=90.00 gamma=120.00
Atoms (fractional coordinates):
1 Ac 0.000 0.595 0.000
2 Ac 0.405 0.405 0.000
3 Ac 0.595 0.000 0.000
4 La 0.000 0.269 0.500
5 La 0.269 0.000 0.500
6 La 0.731 0.731 0.500
7 Ga 0.000 0.000 0.000
8 Ga 0.333 0.667 0.500
9 Ga 0.667 0.333 0.500



Look up the magnetization of the fourth one. 0.00 μB/cell